Model one:
Material: ZnIr2Br
Method: DFT, GGA-PBEsol
State: optimized geometry

Summary:
V, Å³/atom: 16.22
SG: No. 99
Size of the total moment, μB/atom: 0.00

The structure in POSCAR format:
```
ZnIr2Br
1.0
2.874 0.000 0.000
0.000 2.874 0.000
0.000 0.000 7.857
Zn Br Ir
1 1 2
Direct
0.000 0.000 0.456 Zn
0.500 0.500 0.774 Br
0.500 0.500 0.246 Ir
0.000 0.000 0.023 Ir
```

Model two:
Material: ZnIr2Br
Method: DFT, GGA-PBEsol
State: optimized geometry

Summary:
V, Å³/atom: 15.01
SG: No. 139
Size of the total moment, μB/atom: 0.00

The structure in POSCAR format:
```
ZnIr2Br
1.0
-2.685 -2.637 -1.632
2.550 -1.566 3.490
-1.878 -0.336 3.632
Ir Zn Br
2 1 1
Direct
0.250 0.500 0.250 Ir
0.750 0.500 0.750 Ir
0.500 0.000 0.500 Zn
0.000 0.000 0.000 Br
```

Model three:
Material: ZnIr2Br
Method: DFT, GGA-PBEsol
State: optimized geometry

Summary:
V, Å³/atom: 15.63
SG: No. 216
Size of the total moment, μB/atom: 0.00

The structure in POSCAR format:
```
ZnIr2Br
1.0
4.455 0.000 0.000
2.228 3.858 0.000
2.228 1.286 3.638
Br Ir Zn
1 2 1
Direct
0.500 0.500 0.500 Br
0.000 0.000 0.000 Ir
0.250 0.250 0.250 Ir
0.750 0.750 0.750 Zn
```

Order from most stable to least stable according to the calculation: model one, model two, model three

Model one:
Material: ZrIr2Br
Method: DFT, GGA-PBEsol
State: optimized geometry

Summary:
V, Å³/atom: 21.28
SG: No. 99
Size of the total moment, μB/atom: 0.00

The structure in POSCAR format:
```
ZrIr2Br
1.0
3.384 0.000 0.000
0.000 3.384 0.000
0.000 0.000 7.434
Ir Zr Br
2 1 1
Direct
0.000 0.000 0.122 Ir
0.500 0.500 0.231 Ir
0.000 0.000 0.456 Zr
0.500 0.500 0.691 Br
```

Model two:
Material: ZrIr2Br
Method: DFT, GGA-PBEsol
State: optimized geometry

Summary:
V, Å³/atom: 16.79
SG: No. 216
Size of the total moment, μB/atom: 0.00

The structure in POSCAR format:
```
ZrIr2Br
1.0
4.563 0.000 0.000
2.281 3.951 0.000
2.281 1.317 3.725
Ir Br Zr
2 1 1
Direct
0.000 0.000 0.000 Ir
0.250 0.250 0.250 Ir
0.500 0.500 0.500 Br
0.750 0.750 0.750 Zr
```

Order from most stable to least stable according to the calculation: model one, model two

Model one:
Material: K3Br
Method: DFT, GGA-PBEsol
State: optimized geometry

Summary:
V, Å³/atom: 48.61
SG: No. 123
Size of the total moment, μB/atom: 0.00

The structure in POSCAR format:
```
K3Br
1.0
4.106 0.000 0.000
0.000 4.106 0.000
0.000 0.000 11.535
Br K
1 3
Direct
0.000 0.000 0.000 Br
0.000 0.000 0.500 K
0.500 0.500 0.165 K
0.500 0.500 0.835 K
```

Model two:
Material: K3Br
Method: DFT, GGA-PBEsol
State: optimized geometry

Summary:
V, Å³/atom: 52.88
SG: No. 187
Size of the total moment, μB/atom: 0.00

The structure in POSCAR format:
```
K3Br
1.0
-3.451 -2.394 -1.712
3.271 1.540 -2.738
6.127 -10.033 1.677
K Br
3 1
Direct
0.000 0.000 0.500 K
0.333 0.667 0.170 K
0.333 0.667 0.830 K
0.000 0.000 0.000 Br
```

Model three:
Material: K3Br
Method: DFT, GGA-PBEsol
State: optimized geometry

Summary:
V, Å³/atom: 53.45
SG: No. 12
Size of the total moment, μB/atom: 0.00

The structure in POSCAR format:
```
K3Br
1.0
4.580 0.000 0.000
-2.290 3.955 -0.065
0.000 -2.392 11.843
K Br
3 1
Direct
0.500 0.000 0.500 K
0.279 0.558 0.833 K
0.721 0.442 0.167 K
0.000 0.000 0.000 Br
```

Order from most stable to least stable according to the calculation: model three, model two, model one

Model one:
Material: K2Br
Method: DFT, GGA-PBEsol
State: optimized geometry

Summary:
V, Å³/atom: 42.80
SG: No. 141
Size of the total moment, μB/atom: 0.00

The structure in POSCAR format:
```
K2Br
1.0
-1.670 0.559 -3.622
-2.743 -2.831 0.827
-7.351 12.179 7.508
K Br
4 2
Direct
0.439 0.439 0.878 K
0.811 0.311 0.622 K
0.561 0.561 0.122 K
0.689 0.189 0.378 K
0.000 0.000 0.000 Br
0.250 0.750 0.500 Br
```

Model two:
Material: K2Br
Method: DFT, GGA-PBEsol
State: optimized geometry

Summary:
V, Å³/atom: 47.97
SG: No. 63
Size of the total moment, μB/atom: 0.00

The structure in POSCAR format:
```
K2Br
1.0
4.604 0.000 0.000
0.000 6.661 0.000
-2.302 0.000 9.385
K Br
4 2
Direct
0.571 0.250 0.142 K
0.181 0.750 0.362 K
0.429 0.750 0.858 K
0.819 0.250 0.638 K
0.197 0.250 0.394 Br
0.803 0.750 0.606 Br
```

Model three:
Material: K2Br
Method: DFT, GGA-PBEsol
State: optimized geometry

Summary:
V, Å³/atom: 45.99
SG: No. 227
Size of the total moment, μB/atom: 0.00

The structure in POSCAR format:
```
K2Br
1.0
-2.777 2.392 6.322
-6.395 -2.599 2.398
-0.197 -4.426 5.812
K Br
4 2
Direct
0.125 0.625 0.125 K
0.625 0.125 0.125 K
0.125 0.125 0.625 K
0.125 0.125 0.125 K
0.750 0.750 0.750 Br
0.500 0.500 0.500 Br
```

Order from most stable to least stable according to the calculation: model two, model one, model three

Model one:
Material: K2Br
Method: DFT, GGA-PBEsol
State: optimized geometry

Summary:
V, Å³/atom: 42.27
SG: No. 139
Size of the total moment, μB/atom: 0.00

The structure in POSCAR format:
```
K2Br
1.0
4.038 0.000 0.000
0.000 4.038 0.000
-2.019 -2.019 7.775
K Br
2 1
Direct
0.624 0.624 0.247 K
0.376 0.376 0.753 K
0.000 0.000 0.000 Br
```

Model two:
Material: K2Br
Method: DFT, GGA-PBEsol
State: optimized geometry

Summary:
V, Å³/atom: 47.72
SG: No. 164
Size of the total moment, μB/atom: 0.00

The structure in POSCAR format:
```
K2Br
1.0
-2.954 -2.911 -1.897
3.682 1.352 -2.327
4.119 -6.113 2.968
K Br
2 1
Direct
0.667 0.333 0.248 K
0.333 0.667 0.752 K
0.000 0.000 0.000 Br
```

Order from most stable to least stable according to the calculation: model two, model one

Model one:
Material: KLa2Br
Method: DFT, GGA-PBEsol
State: optimized geometry

Summary:
V, Å³/atom: 36.48
SG: No. 166
Size of the total moment, μB/atom: 0.08

The structure in POSCAR format:
```
KLa2Br
1.0
3.715 0.000 0.000
1.857 3.217 0.000
1.857 1.072 12.209
La K Br
2 1 1
Direct
0.770 0.770 0.690 La
0.230 0.230 0.310 La
0.000 0.000 0.000 K
0.500 0.500 0.500 Br
```

Model two:
Material: KLa2Br
Method: DFT, GGA-PBEsol
State: optimized geometry

Summary:
V, Å³/atom: 33.33
SG: No. 10
Size of the total moment, μB/atom: 0.00

The structure in POSCAR format:
```
KLa2Br
1.0
-1.174 -0.404 3.502
-0.804 -5.465 -1.296
5.925 -1.307 1.835
Br La K
1 2 1
Direct
0.000 0.500 0.500 Br
0.176 0.273 0.000 La
0.824 0.727 0.000 La
0.500 0.000 0.500 K
```

Order from most stable to least stable according to the calculation: model one, model two